Material: Hf3MoBr
Method: DFT, PBE
State: optimized geometry

```
data_Hf3MoBr
_cell_length_a 4.840
_cell_length_b 4.840
_cell_length_c 4.840
_cell_angle_alpha 90.00
_cell_angle_beta 90.00
_cell_angle_gamma 90.00
_symmetry_space_group_name_H-M 'P m -3 m'
_symmetry_Int_Tables_number 221
_symmetry_space_group_name_Hall '-P 4 2 3'
loop_
_atom_site_label
_atom_site_fract_x
_atom_site_fract_y
_atom_site_fract_z
_atom_site_occupancy
Hf1 0.000 0.000 0.500 1
Mo1 0.500 0.500 0.500 1
Br1 0.000 0.000 0.000 1
```

As for the uncorrected formation energy: 935 meV per atom. The calculation puts the total moment at 1.4 μB per formula unit. Its total energy is -7.538 eV/atom.



Material: NbReGe2
Method: DFT, PBE
State: optimized geometry

```
data_NbReGe2
_cell_length_a 3.878
_cell_length_b 3.878
_cell_length_c 18.610
_cell_angle_alpha 90.00
_cell_angle_beta 90.00
_cell_angle_gamma 90.00
_symmetry_space_group_name_H-M 'I -4 2 d'
_symmetry_Int_Tables_number 122
_symmetry_space_group_name_Hall 'I -4 2bw'
loop_
_atom_site_label
_atom_site_fract_x
_atom_site_fract_y
_atom_site_fract_z
_atom_site_occupancy
Nb1 0.000 0.000 0.000 1
Re1 0.000 0.000 0.500 1
Ge1 0.240 0.250 0.625 1
```

The calculation puts the total moment at 0.0 μB per formula unit. Its total energy is -7.596 eV/atom.



Material: Rb2Sn2AsSe2
Method: DFT, PBE
State: optimized geometry

```
data_Rb2Sn2AsSe2
_cell_length_a 15.096
_cell_length_b 5.267
_cell_length_c 7.546
_cell_angle_alpha 90.00
_cell_angle_beta 108.77
_cell_angle_gamma 90.00
_symmetry_space_group_name_H-M 'C 1 2/m 1'
_symmetry_Int_Tables_number 12
loop_
_symmetry_equiv_pos_as_xyz
'x,y,z'
'-x,-y,-z'
'-x,y,-z'
'x,-y,z'
'x+1/2,y+1/2,z'
'-x+1/2,-y+1/2,-z'
'-x+1/2,y+1/2,-z'
'x+1/2,-y+1/2,z'
loop_
_atom_site_label
_atom_site_fract_x
_atom_site_fract_y
_atom_site_fract_z
_atom_site_occupancy
Rb1 0.117 0.000 0.289 1
Sn1 0.148 0.500 0.889 1
As1 0.000 0.500 0.000 1
Se1 0.200 0.000 0.783 1
```

As for the uncorrected formation energy: -521 meV per atom. The calculation puts the total moment at 0.0 μB per formula unit. Its total energy is -3.601 eV/atom.